Compound: Sc6Ga5Sn
Source: Alexandria
Functional: GGA-PBE
Structure: optimized geometry

Cell lengths 8.864, 5.815, 5.839 Å; angles 60.14, 83.57, 77.01 degrees
Fractional positions:
Sc: 0.244 0.273 0.000
Sc: 0.265 0.912 0.654
Sc: 0.735 0.088 0.346
Ga: 0.500 0.500 0.000
Sc: 0.265 0.566 0.346
Ga: 0.500 0.146 0.707
Ga: 0.000 0.680 0.641
Ga: 0.500 0.854 0.293
Sc: 0.756 0.727 0.000
Sn: 0.000 0.000 0.000
Sc: 0.735 0.434 0.654
Ga: 0.000 0.320 0.359

Summary:
Volume (Å³ per cell): 254.3
Space group: C2/m, No. 12
D(E_F) (states/eV/atom): 0.728
ΔE_f (eV/atom): -0.4444